Density functional theory data (PBE) for an optimized crystal structure of TcPS.

Lattice parameters (Å, degrees): 3.065 5.984 6.123 63.42 77.79 89.50
Atoms (fractional coordinates):
Tc 0.000 0.000 0.000
Tc 0.492 0.592 0.025
P 0.404 0.125 0.258
P 0.626 0.008 0.683
S 0.093 0.457 0.803
S 0.864 0.592 0.323

Results
The excess energy over the best structure of this formula in the dataset is 194 meV per atom. Its raw formation energy is -32 kJ per mole of atoms. Its total magnetization is 0.00 μB per cell. As for the space group: No. 1.

---

Density functional theory data (PBE) for an optimized crystal structure of TbCe2Y3Tm6.

Lattice parameters (Å, degrees): 6.096 6.096 11.639 95.01 95.01 119.98
Atoms (fractional coordinates):
Tb 0.000 0.000 0.000
Ce 0.333 0.667 0.000
Ce 0.667 0.333 0.000
Y 0.166 0.834 0.500
Y 0.500 0.500 0.500
Y 0.834 0.166 0.500
Tm 0.083 0.419 0.248
Tm 0.252 0.252 0.752
Tm 0.419 0.083 0.248
Tm 0.581 0.917 0.752
Tm 0.748 0.748 0.248
Tm 0.917 0.581 0.752

Results
Its total magnetization is 1.70 μB per cell. Its energy relative to the elements is 0.05 eV/atom. As for the space group: No. 12.

---

Density functional theory data (PBE) for an optimized crystal structure of Ho2TmTl2.

Lattice parameters (Å, degrees): 5.216 6.612 9.043 103.16 90.03 113.20
Atoms (fractional coordinates):
Ho 0.064 0.131 0.354
Ho 0.250 0.501 0.751
Ho 0.750 0.499 0.249
Ho 0.936 0.869 0.646
Tm 0.433 0.867 0.143
Tm 0.567 0.133 0.857
Tl 0.137 0.271 0.044
Tl 0.365 0.729 0.453
Tl 0.635 0.271 0.547
Tl 0.863 0.729 0.956

Results
The excess energy over the best structure of this formula in the dataset is 0 meV per atom. Its total magnetization is 0.00 μB per cell. Its energy relative to the elements is -0.27 eV/atom. As for the space group: No. 2.

---

Density functional theory data (PBE) for an optimized crystal structure of LaPrGePt.

Lattice parameters (Å, degrees): 4.339 6.095 6.095 40.30 90.00 90.00
Atoms (fractional coordinates):
La 0.000 0.000 0.000
Pr 0.500 0.724 0.724
Ge 0.000 0.285 0.285
Pt 0.500 0.449 0.449

Results
The excess energy over the best structure of this formula in the dataset is 0 meV per atom. Its total magnetization is 0.00 μB per cell. Its energy relative to the elements is -1.00 eV/atom. As for the space group: No. 38.